1.
# NaMnIrF6

A relaxed structure of NaMnIrF6 (PBE with a Hubbard U, Alexandria).

Cell: 5.5626 5.5626 9.5578 Å, 90.00 90.00 120.00°
With the nearest neighbours (Å) after each atom.
Fractional positions:
Na 0.0000 0.0000 0.0000  6 F 2.36
Na 0.0000 0.0000 0.5000  6 F 2.36
Mn 0.3333 0.6667 0.2500  6 F 2.16
Mn 0.6667 0.3333 0.7500  6 F 2.16
Ir 0.3333 0.6667 0.7500  6 F 2.04
Ir 0.6667 0.3333 0.2500  6 F 2.04
F 0.0157 0.3594 0.6380  1 Ir 2.04, 1 Mn 2.16
F 0.0157 0.6563 0.8620  1 Ir 2.04, 1 Mn 2.16
F 0.3437 0.3594 0.8620  1 Ir 2.04, 1 Mn 2.16
F 0.3437 0.9843 0.6380  1 Ir 2.04, 1 Mn 2.16
F 0.3594 0.0157 0.1380  1 Ir 2.04, 1 Mn 2.16
F 0.3594 0.3437 0.3620  1 Ir 2.04, 1 Mn 2.16
F 0.6406 0.6563 0.6380  1 Ir 2.04, 1 Mn 2.16
F 0.6406 0.9843 0.8620  1 Ir 2.04, 1 Mn 2.16
F 0.6563 0.0157 0.3620  1 Ir 2.04, 1 Mn 2.16
F 0.6563 0.6406 0.1380  1 Ir 2.04, 1 Mn 2.16
F 0.9843 0.3437 0.1380  1 Ir 2.04, 1 Mn 2.16
F 0.9843 0.6406 0.3620  1 Ir 2.04, 1 Mn 2.16

Results
Crystal system: trigonal
DOS at the Fermi energy, states/eV/atom: 0.00
Calculated density, g/cm3: 5.0
Calculated total energy, eV per formula unit: -47.86

=====

2.
# NaMn2IrF

A relaxed structure of NaMn2IrF (PBE with a Hubbard U, Alexandria).

Cell: 4.9394 4.9394 5.5746 Å, 90.00 90.00 90.00°
With the nearest neighbours (Å) after each atom.
Fractional positions:
Na 0.0000 0.0000 0.0000  2 Ir 2.79
Mn 0.0000 0.5000 0.5000  2 Ir 2.47
Mn 0.5000 0.0000 0.5000  2 Ir 2.47
Ir 0.0000 0.0000 0.5000  4 Mn 2.47
F 0.5000 0.5000 0.0000  4 Na 3.49, 8 Mn 3.72

Results
Crystal system: tetragonal
DOS at the Fermi energy, states/eV/atom: 0.33
Calculated density, g/cm3: 4.2
Calculated total energy, eV per formula unit: -25.85

=====

3.
# MnIr2OsF

A relaxed structure of MnIr2OsF (PBE with a Hubbard U, Alexandria).

Cell: 4.3280 4.3280 3.9882 Å, 90.00 90.00 90.00°
With the nearest neighbours (Å) after each atom.
Fractional positions:
Mn 0.0000 0.0000 0.0000  2 F 1.99
Ir 0.0000 0.5000 0.5000  2 F 2.16
Ir 0.5000 0.0000 0.5000  2 F 2.16
Os 0.5000 0.5000 0.0000  8 Ir 2.94, 4 Mn 3.06
F 0.0000 0.0000 0.5000  2 Mn 1.99, 4 Ir 2.16

Results
Crystal system: tetragonal
DOS at the Fermi energy, states/eV/atom: 1.22
Calculated density, g/cm3: 14.4
Calculated total energy, eV per formula unit: -33.55